*i*
The following is a DFT calculation (PBE) of a relaxed TaBiBr2 crystal.

POSCAR file:
```
TaBiBr2
1.0
0.0000 3.5718 3.5718
3.5718 0.0000 3.5718
3.5718 3.5718 0.0000
Ta Bi Br
1 1 2
Cartesian
0.0000 0.0000 0.0000
3.5718 3.5718 3.5718
1.7859 1.7859 1.7859
5.3577 5.3577 5.3577
```

**M_tot**: 0.00 μB per cell

***

*ii*
The following is a DFT calculation (PBE) of a relaxed TaBiBr2 crystal.

POSCAR file:
```
TaBiBr2
1.0
1.6559 0.9560 12.3063
-1.6559 0.9560 12.3063
0.0000 -1.9120 12.3063
Ta Bi Br
1 1 2
Cartesian
0.0000 0.0000 0.0000
0.0000 0.0000 18.4594
0.0000 0.0000 14.2025
0.0000 0.0000 22.7163
```

**M_tot**: 0.00 μB per cell

***

Of them, *i* has the lowest stability.

***

*i*
The following is a DFT calculation (PBE) of a relaxed Ta2BiBr crystal.

POSCAR file:
```
Ta2BiBr
1.0
0.0000 3.4367 3.4367
3.4367 0.0000 3.4367
3.4367 3.4367 0.0000
Ta Bi Br
2 1 1
Cartesian
1.7183 1.7183 1.7183
5.1550 5.1550 5.1550
0.0000 0.0000 0.0000
3.4367 3.4367 3.4367
```

**M_tot**: 1.36 μB per cell

***

*ii*
The following is a DFT calculation (PBE) of a relaxed Ta2BiBr crystal.

POSCAR file:
```
Ta2BiBr
1.0
-2.3405 2.3405 8.8927
2.3405 -2.3405 8.8927
2.3405 2.3405 -8.8927
Ta Bi Br
4 2 2
Cartesian
3.5107 0.8521 -2.2232
0.8521 1.1702 2.2232
-1.1702 1.4884 6.6695
1.4884 1.1702 11.1159
2.3405 0.0000 4.4463
0.0000 0.0000 8.8927
0.0000 0.0000 0.0000
0.0000 2.3405 4.4463
```

**M_tot**: 0.00 μB per cell

***

Of them, *ii* has the lowest stability.

***

*i*
The following is a DFT calculation (PBE) of a relaxed TaBiBr3 crystal.

POSCAR file:
```
TaBiBr3
1.0
5.7914 0.0000 0.0000
0.0000 5.7914 0.0000
0.0000 0.0000 5.7914
Ta Bi Br
1 1 3
Cartesian
0.0000 0.0000 0.0000
2.8957 2.8957 2.8957
0.0000 2.8957 2.8957
2.8957 0.0000 2.8957
2.8957 2.8957 0.0000
```

**M_tot**: 4.37 μB per cell

***

*ii*
The following is a DFT calculation (PBE) of a relaxed TaBiBr3 crystal.

POSCAR file:
```
TaBiBr3
1.0
5.2407 0.0000 0.0000
0.0000 5.2407 0.0000
0.0000 0.0000 5.2407
Ta Bi Br
1 1 3
Cartesian
0.0000 0.0000 0.0000
2.6203 2.6203 2.6203
0.0000 0.0000 2.6203
0.0000 2.6203 0.0000
2.6203 0.0000 0.0000
```

**M_tot**: 2.74 μB per cell

***

Of them, *i* has the lowest stability.

***

*i*
The following is a DFT calculation (PBE) of a relaxed Tc3BiBr crystal.

POSCAR file:
```
Tc3BiBr
1.0
5.2268 0.0000 0.0000
0.0000 5.2268 0.0000
0.0000 0.0000 5.2268
Tc Bi Br
3 1 1
Cartesian
0.0000 0.0000 2.6134
0.0000 2.6134 0.0000
2.6134 0.0000 0.0000
0.0000 0.0000 0.0000
2.6134 2.6134 2.6134
```

**M_tot**: 8.47 μB per cell

***

*ii*
The following is a DFT calculation (PBE) of a relaxed Tc3BiBr crystal.

POSCAR file:
```
Tc3BiBr
1.0
4.6544 0.0000 0.0000
0.0000 4.6544 0.0000
0.0000 0.0000 4.6544
Tc Bi Br
3 1 1
Cartesian
0.0000 0.0000 2.3272
0.0000 2.3272 0.0000
2.3272 0.0000 0.0000
2.3272 2.3272 2.3272
0.0000 0.0000 0.0000
```

**M_tot**: 1.13 μB per cell

***

Of them, *i* has the lowest stability.

***

*i*
The following is a DFT calculation (PBE) of a relaxed BiTeBr2 crystal.

POSCAR file:
```
BiTeBr2
1.0
0.0000 3.8343 3.8343
3.8343 0.0000 3.8343
3.8343 3.8343 0.0000
Bi Te Br
1 1 2
Cartesian
0.0000 0.0000 0.0000
3.8343 3.8343 3.8343
1.9171 1.9171 1.9171
5.7514 5.7514 5.7514
```

**M_tot**: 0.00 μB per cell

***

*ii*
The following is a DFT calculation (PBE) of a relaxed BiTeBr2 crystal.

POSCAR file:
```
BiTeBr2
1.0
-5.1230 5.1230 3.0634
5.1230 -5.1230 3.0634
5.1230 5.1230 -3.0634
Bi Te Br
2 2 4
Cartesian
0.0000 0.0000 0.0000
0.0000 5.1230 1.5317
5.1230 0.0000 1.5317
0.0000 0.0000 3.0634
1.2586 2.5615 0.7659
-2.5615 3.8644 2.2976
-1.2586 7.6845 0.7659
2.5615 6.3816 2.2976
```

**M_tot**: 2.00 μB per cell

***

Of them, *i* has the lowest stability.

***

*i*
The following is a DFT calculation (PBE) of a relaxed BiTeBr2 crystal.

POSCAR file:
```
BiTeBr2
1.0
5.0045 -3.8279 0.0000
5.0045 3.8279 0.0000
-0.8999 0.0000 3.9489
Bi Te Br
1 1 2
Cartesian
0.0000 0.0000 0.0000
4.5545 -1.5928 1.9744
1.4915 -1.1778 2.5223
7.6175 -1.1778 1.4266
```

**M_tot**: 0.00 μB per cell

***

*ii*
The following is a DFT calculation (PBE) of a relaxed BiTeBr2 crystal.

POSCAR file:
```
BiTeBr2
1.0
1.8199 1.0507 10.5945
-1.8199 1.0507 10.5945
0.0000 -2.1014 10.5945
Bi Te Br
1 1 2
Cartesian
0.0000 0.0000 0.0000
0.0000 0.0000 15.8918
0.0000 0.0000 13.0580
0.0000 0.0000 18.7256
```

**M_tot**: 0.00 μB per cell

***

Of them, *ii* has the lowest stability.

***

*i*
The following is a DFT calculation (PBE) of a relaxed Bi2TeBr2 crystal.

POSCAR file:
```
Bi2TeBr2
1.0
8.0206 0.0000 0.0000
0.0000 8.0206 0.0000
0.0000 0.0000 4.9556
Bi Te Br
4 2 4
Cartesian
1.1265 2.8838 0.0000
2.8838 6.8941 0.0000
5.1368 1.1265 0.0000
6.8941 5.1368 0.0000
0.0000 0.0000 0.0000
4.0103 4.0103 0.0000
1.2863 5.2966 2.4778
2.7239 1.2863 2.4778
5.2966 6.7342 2.4778
6.7342 2.7239 2.4778
```

**M_tot**: 0.00 μB per cell

***

*ii*
The following is a DFT calculation (PBE) of a relaxed Bi2TeBr2 crystal.

POSCAR file:
```
Bi2TeBr2
1.0
7.0957 -3.2051 0.0000
7.0957 3.2051 0.0000
-1.4038 0.0000 8.7752
Bi Te Br
4 2 4
Cartesian
0.1362 0.0000 1.5148
4.1256 0.0000 3.5762
8.6620 0.0000 5.1989
12.6514 0.0000 7.2604
2.9147 0.0000 0.9552
9.8729 0.0000 7.8200
1.5341 0.0000 4.9898
6.6739 0.0000 2.1353
6.1137 0.0000 6.6399
11.2535 0.0000 3.7853
```

**M_tot**: 0.00 μB per cell

***

Of them, *i* has the lowest stability.

***

*i*
The following is a DFT calculation (PBE) of a relaxed TiBi3Br crystal.

POSCAR file:
```
TiBi3Br
1.0
5.4015 0.0000 0.0000
0.0000 5.4015 0.0000
0.0000 0.0000 5.4015
Ti Bi Br
1 3 1
Cartesian
0.0000 0.0000 0.0000
0.0000 0.0000 2.7008
0.0000 2.7008 0.0000
2.7008 0.0000 0.0000
2.7008 2.7008 2.7008
```

**M_tot**: 0.00 μB per cell

***

*ii*
The following is a DFT calculation (PBE) of a relaxed TiBi3Br crystal.

POSCAR file:
```
TiBi3Br
1.0
5.5791 0.0000 0.0000
0.0000 5.5791 0.0000
0.0000 0.0000 5.5791
Ti Bi Br
1 3 1
Cartesian
0.0000 0.0000 0.0000
0.0000 2.7896 2.7896
2.7896 0.0000 2.7896
2.7896 2.7896 0.0000
2.7896 2.7896 2.7896
```

**M_tot**: 0.11 μB per cell

***

Of them, *ii* has the lowest stability.